[1]
DFT (PBE) results for a geometry-optimized K3GdSi2O7 structure.

```
K3GdSi2O7
1.0
10.0380 0.0000 0.0000
-5.0190 8.6932 0.0000
0.0000 0.0000 14.5901
Gd K Si O
6 18 12 42
Direct
0.3333 0.6667 0.5000
0.0000 0.0000 0.7500
0.6667 0.3333 0.0000
0.6667 0.3333 0.5000
0.3333 0.6667 0.0000
0.0000 0.0000 0.2500
0.6682 0.0000 0.5906
0.0000 0.0000 0.5000
0.0000 0.6682 0.9094
0.6682 0.6682 0.0906
0.3333 0.6667 0.2500
0.0000 0.3318 0.0906
0.0000 0.0000 0.0000
0.6682 0.6682 0.4094
0.3318 0.0000 0.0906
0.3333 0.6667 0.7500
0.6667 0.3333 0.7500
0.6667 0.3333 0.2500
0.3318 0.3318 0.5906
0.6682 0.0000 0.9094
0.0000 0.3318 0.4094
0.0000 0.6682 0.5906
0.3318 0.3318 0.9094
0.3318 0.0000 0.4094
0.3410 0.3410 0.3568
0.6590 0.6590 0.8568
0.3410 0.0000 0.6432
0.0000 0.3410 0.8568
0.3410 0.3410 0.1432
0.0000 0.6590 0.1432
0.0000 0.3410 0.6432
0.3410 0.0000 0.8568
0.6590 0.0000 0.3568
0.6590 0.6590 0.6432
0.0000 0.6590 0.3568
0.6590 0.0000 0.1432
0.5240 0.6784 0.5927
0.8222 0.0000 0.3533
0.0000 0.4052 0.7500
0.1544 0.4760 0.5927
0.0000 0.5948 0.2500
0.1778 0.1778 0.3533
0.3216 0.4760 0.0927
0.3216 0.8456 0.5927
0.8456 0.5240 0.0927
0.6784 0.5240 0.5927
0.1778 0.0000 0.6467
0.5240 0.8456 0.4073
0.8456 0.3216 0.5927
0.8222 0.8222 0.6467
0.4760 0.1544 0.5927
0.8222 0.8222 0.8533
0.6784 0.1544 0.0927
0.8456 0.5240 0.4073
0.0000 0.8222 0.3533
0.4760 0.3216 0.0927
0.1544 0.6784 0.0927
0.0000 0.8222 0.1467
0.5948 0.5948 0.7500
0.6784 0.1544 0.4073
0.1778 0.1778 0.1467
0.5240 0.6784 0.9073
0.8222 0.0000 0.1467
0.5240 0.8456 0.0927
0.5948 0.0000 0.2500
0.4760 0.1544 0.9073
0.4052 0.4052 0.2500
0.4760 0.3216 0.4073
0.6784 0.5240 0.9073
0.1544 0.4760 0.9073
0.8456 0.3216 0.9073
0.1544 0.6784 0.4073
0.0000 0.1778 0.8533
0.3216 0.8456 0.9073
0.0000 0.1778 0.6467
0.1778 0.0000 0.8533
0.3216 0.4760 0.4073
0.4052 0.0000 0.7500
```

Results
Uncorrected formation energy in kJ/mol of atoms: -259
N(E_F) in states/eV per cell: 0.0
Crystal system: hexagonal

[2]
DFT (PBE) results for a geometry-optimized BeAlSi structure.

```
BeAlSi
1.0
2.8164 0.0000 0.0000
-1.4082 2.4391 0.0000
0.0000 0.0000 5.8134
Si Be Al
1 1 1
Direct
0.3333 0.6667 0.6438
0.6667 0.3333 0.3424
0.0000 0.0000 0.0138
```

Results
Uncorrected formation energy in kJ/mol of atoms: 29
N(E_F) in states/eV per cell: 0.6
Crystal system: trigonal

[3]
DFT (PBE) results for a geometry-optimized SrBe3Nb structure.

```
SrBe3Nb
1.0
4.4987 0.0000 0.0000
0.0000 4.4987 0.0000
0.0000 0.0000 4.4987
Be Sr Nb
3 1 1
Direct
0.5000 0.0000 0.0000
0.0000 0.5000 0.0000
0.0000 0.0000 0.5000
0.0000 0.0000 0.0000
0.5000 0.5000 0.5000
```

Results
N(E_F) in states/eV per cell: 2.7
ΔE_f in eV/atom: 2.296
Crystal system: cubic

> Look up the N(E_F) of the first one.

0.0 states/eV per cell

> The lowest N(E_F) belongs to which entry?

K3GdSi2O7

> Look up the N(E_F) of the third one.

2.7 states/eV per cell

> What is the formula in the first record?

K3GdSi2O7